No. 1
{"formula": "Nd2AsCl", "functional": "PBE-GGA", "state": "relaxed", "total_magnetization_mub_per_cell": 0.0, "space_group": "R3m", "dos_at_fermi_per_ev_cell": 1.3, "dft_energy_ev_per_atom": -5.5044, "lattice_angstrom": [[2.0681, 1.1940, 7.3560], [-2.0681, 1.1940, 7.3560], [0.0000, -2.3880, 7.3560]], "species": ["Nd", "Nd", "As", "Cl"], "fractional_positions": [[0.0000, 0.0000, 0.0000], [0.1871, 0.1871, 0.1871], [0.5948, 0.5948, 0.5948], [0.4254, 0.4254, 0.4254]]}

No. 2
{"formula": "Nd5As4Cl3O12", "functional": "PBE-GGA", "state": "relaxed", "total_magnetization_mub_per_cell": 0.0, "space_group": "P2/c", "dos_at_fermi_per_ev_cell": 0.0, "dft_energy_ev_per_atom": -6.9198, "lattice_angstrom": [[10.3968, 0.0000, 0.0000], [0.0000, 5.4874, 0.0000], [-9.4269, 0.0000, 14.1728]], "species": ["Nd", "Nd", "Nd", "Nd", "Nd", "Nd", "Nd", "Nd", "Nd", "Nd", "As", "As", "As", "As", "As", "As", "As", "As", "Cl", "Cl", "Cl", "Cl", "Cl", "Cl", "O", "O", "O", "O", "O", "O", "O", "O", "O", "O", "O", "O", "O", "O", "O", "O", "O", "O", "O", "O", "O", "O", "O", "O"], "fractional_positions": [[0.0000, 0.2088, 0.2500], [0.0000, 0.7912, 0.7500], [0.0047, 0.2645, 0.5860], [0.0047, 0.7355, 0.0860], [0.3365, 0.2439, 0.5310], [0.3365, 0.7561, 0.0310], [0.6635, 0.2439, 0.9690], [0.6635, 0.7561, 0.4690], [0.9953, 0.2645, 0.9140], [0.9953, 0.7355, 0.4140], [0.2576, 0.2644, 0.1493], [0.2576, 0.7356, 0.6493], [0.2708, 0.2382, 0.8613], [0.2708, 0.7618, 0.3613], [0.7292, 0.2382, 0.6387], [0.7292, 0.7618, 0.1387], [0.7424, 0.2644, 0.3507], [0.7424, 0.7356, 0.8507], [0.4974, 0.2539, 0.4206], [0.4974, 0.7461, 0.9206], [0.5000, 0.2474, 0.7500], [0.5000, 0.7526, 0.2500], [0.5026, 0.2539, 0.0794], [0.5026, 0.7461, 0.5794], [0.0959, 0.3294, 0.1569], [0.0959, 0.6706, 0.6569], [0.1377, 0.1513, 0.7421], [0.1377, 0.8487, 0.2421], [0.1724, 0.0121, 0.0637], [0.1724, 0.9879, 0.5637], [0.1798, 0.4943, 0.8789], [0.1798, 0.5057, 0.3789], [0.1838, 0.4987, 0.5540], [0.1838, 0.5013, 0.0540], [0.1888, 0.0132, 0.9028], [0.1888, 0.9868, 0.4028], [0.8112, 0.0132, 0.5972], [0.8112, 0.9868, 0.0972], [0.8162, 0.4987, 0.9460], [0.8162, 0.5013, 0.4460], [0.8202, 0.4943, 0.6211], [0.8202, 0.5057, 0.1211], [0.8276, 0.0121, 0.4363], [0.8276, 0.9879, 0.9363], [0.8623, 0.1513, 0.7579], [0.8623, 0.8487, 0.2579], [0.9041, 0.3294, 0.3431], [0.9041, 0.6706, 0.8431]]}